# 1
Computed, not measured: a PBEsol-optimized structure of Mn2ZnCr at the meta-GGA SCAN level of DFT.

The structure in POSCAR format:
```
Mn2ZnCr
1.0
2.835 0.000 0.000
0.000 2.835 0.000
0.000 0.000 5.710
Mn Zn Cr
2 1 1
direct
0.000 0.000 0.729
0.000 0.000 0.271
0.500 0.500 0.000
0.500 0.500 0.500
```

Properties
symmetry = P4/mmm

***

# 2
Computed, not measured: a PBEsol-optimized structure of Mn2ZnCr at the meta-GGA SCAN level of DFT.

The structure in POSCAR format:
```
Mn2ZnCr
1.0
3.781 0.000 0.000
-1.890 3.788 0.021
0.000 1.868 3.287
Cr Zn Mn
1 1 2
direct
0.500 0.000 0.500
0.000 0.000 0.000
0.250 0.500 0.250
0.750 0.500 0.750
```

Properties
symmetry = I4/mmm

***

# 3
Computed, not measured: a PBEsol-optimized structure of Mn2ZnCr at the meta-GGA SCAN level of DFT.

The structure in POSCAR format:
```
Mn2ZnCr
1.0
-0.055 1.947 2.046
-3.972 0.173 -0.272
1.700 -3.946 1.850
Mn Cr Zn
2 1 1
direct
0.999 0.999 0.997
0.738 0.238 0.475
0.265 0.765 0.529
0.499 0.499 0.998
```

Properties
symmetry = Imm2

***

# 4
Computed, not measured: a PBEsol-optimized structure of Mn2ZnCr at the meta-GGA SCAN level of DFT.

The structure in POSCAR format:
```
Mn2ZnCr
1.0
-0.565 -2.431 0.088
1.596 -1.687 -0.918
4.013 -1.957 7.177
Cr Zn Mn
1 1 2
direct
0.255 0.255 0.236
0.498 0.498 0.505
0.003 0.003 0.991
0.744 0.744 0.768
```

Properties
symmetry = R3m

***

# 5
Computed, not measured: a PBEsol-optimized structure of MnZnCr2 at the meta-GGA SCAN level of DFT.

The structure in POSCAR format:
```
MnZnCr2
1.0
2.962 0.000 0.000
0.000 3.985 0.000
0.000 0.000 4.067
Cr Mn Zn
2 1 1
direct
0.000 0.000 0.000
0.500 0.500 0.000
0.500 0.000 0.500
0.000 0.500 0.500
```

Properties
symmetry = Pmmm

***

# 6
Computed, not measured: a PBEsol-optimized structure of ZrMnCr2 at the meta-GGA SCAN level of DFT.

The structure in POSCAR format:
```
ZrMnCr2
1.0
2.965 0.000 0.000
0.000 4.343 0.000
-1.483 -2.171 4.120
Cr Mn Zr
2 1 1
direct
0.015 0.515 0.030
0.750 0.750 0.500
0.486 0.986 0.972
0.249 0.249 0.497
```

Properties
symmetry = Imm2

***

# 7
Computed, not measured: a PBEsol-optimized structure of Zr3MnCr at the meta-GGA SCAN level of DFT.

The structure in POSCAR format:
```
Zr3MnCr
1.0
4.740 0.000 0.000
0.000 4.740 0.000
0.000 0.000 4.740
Zr Cr Mn
3 1 1
direct
0.500 0.000 0.000
0.000 0.000 0.500
0.000 0.500 0.000
0.000 0.000 0.000
0.500 0.500 0.500
```

Properties
symmetry = Pm-3m

***

# 8
Computed, not measured: a PBEsol-optimized structure of ZrMnCr2 at the meta-GGA SCAN level of DFT.

The structure in POSCAR format:
```
ZrMnCr2
1.0
-0.817 -1.696 1.843
2.519 -0.419 -0.646
2.364 5.210 5.843
Zr Cr Mn
1 2 1
direct
0.500 0.500 0.253
0.500 0.500 0.748
0.000 0.000 0.968
0.000 0.000 0.531
```

Properties
symmetry = Cmm2

***

# 9
Computed, not measured: a PBEsol-optimized structure of CrMo at the meta-GGA SCAN level of DFT.

The structure in POSCAR format:
```
CrMo
1.0
2.988 0.000 0.000
0.000 4.210 0.000
-1.494 -2.105 4.230
Mo Cr
2 2
direct
0.378 0.628 0.755
0.622 0.372 0.245
0.127 0.877 0.254
0.873 0.123 0.746
```

Properties
symmetry = Imma

***

# 10
Computed, not measured: a PBEsol-optimized structure of Cr2Mo at the meta-GGA SCAN level of DFT.

The structure in POSCAR format:
```
Cr2Mo
1.0
-2.575 -1.402 0.063
3.502 -3.365 -0.002
-0.816 1.748 5.552
Cr Mo
4 2
direct
0.503 0.006 0.264
0.497 0.994 0.736
0.162 0.324 0.577
0.838 0.676 0.423
0.834 0.669 0.909
0.166 0.331 0.091
```

Properties
symmetry = C2/m
energy relative to the lowest polymorph listed for this composition = 0.0172 eV per atom

***

# 11
Computed, not measured: a PBEsol-optimized structure of Cr2Mo at the meta-GGA SCAN level of DFT.

The structure in POSCAR format:
```
Cr2Mo
1.0
-0.862 0.917 2.234
-1.960 -0.903 -1.385
2.152 -5.531 2.130
Mo Cr
1 2
direct
0.000 0.000 0.000
0.674 0.674 0.348
0.326 0.326 0.652
```

Properties
symmetry = Fmmm
energy relative to the lowest polymorph listed for this composition = 0.0299 eV per atom

***

# 12
Computed, not measured: a PBEsol-optimized structure of CrMo5 at the meta-GGA SCAN level of DFT.

The structure in POSCAR format:
```
CrMo5
1.0
3.088 0.000 0.000
-1.544 4.866 -0.005
0.000 -1.948 5.853
Mo Cr
5 1
direct
0.334 0.669 0.163
0.000 0.000 0.500
0.664 0.327 0.327
0.666 0.331 0.837
0.336 0.673 0.673
0.000 0.000 0.000
```

Properties
symmetry = C2/m
energy relative to the lowest polymorph listed for this composition = 0.0033 eV per atom

***

# 13
Computed, not measured: a PBEsol-optimized structure of Cr5Mo at the meta-GGA SCAN level of DFT.

The structure in POSCAR format:
```
Cr5Mo
1.0
2.878 0.000 0.000
-1.439 4.532 -0.004
0.000 -1.812 5.463
Cr Mo
5 1
direct
0.167 0.335 0.326
0.500 0.000 0.000
0.833 0.665 0.674
0.171 0.343 0.842
0.829 0.657 0.158
0.500 0.000 0.500
```

Properties
symmetry = C2/m
energy relative to the lowest polymorph listed for this composition = 0.0030 eV per atom

***

# 14
Computed, not measured: a PBEsol-optimized structure of CrMo4 at the meta-GGA SCAN level of DFT.

The structure in POSCAR format:
```
CrMo4
1.0
-2.932 0.243 0.896
-0.106 -0.515 5.069
-0.915 4.923 0.947
Mo Cr
4 1
direct
0.796 0.604 0.804
0.400 0.804 0.396
0.204 0.396 0.196
0.600 0.196 0.604
0.000 0.000 0.000
```

Properties
symmetry = I4/m

***

# 15
Computed, not measured: a PBEsol-optimized structure of Cr2Mo at the meta-GGA SCAN level of DFT.

The structure in POSCAR format:
```
Cr2Mo
1.0
-2.793 -0.852 0.294
1.267 -3.855 0.863
1.598 1.844 5.889
Cr Mo
4 2
direct
0.748 0.750 0.495
0.912 0.250 0.824
0.252 0.250 0.505
0.088 0.750 0.176
0.586 0.250 0.172
0.414 0.750 0.828
```

Properties
symmetry = Cmcm
energy relative to the lowest polymorph listed for this composition = 0.0000 eV per atom

***

# 16
Computed, not measured: a PBEsol-optimized structure of CrMo at the meta-GGA SCAN level of DFT.

The structure in POSCAR format:
```
CrMo
1.0
4.951 0.002 -0.002
0.905 5.117 0.001
0.430 2.555 8.416
Cr Mo
8 8
direct
0.377 0.752 0.382
0.378 0.505 0.869
0.380 0.239 0.383
0.623 0.248 0.618
0.871 0.999 0.384
0.129 0.001 0.616
0.622 0.495 0.131
0.620 0.761 0.617
0.624 0.001 0.133
0.133 0.507 0.620
0.868 0.257 0.868
0.132 0.743 0.132
0.874 0.751 0.868
0.376 0.999 0.867
0.126 0.249 0.132
0.867 0.493 0.380
```

Properties
symmetry = P-1

***

# 17
Computed, not measured: a PBEsol-optimized structure of CrMo at the meta-GGA SCAN level of DFT.

The structure in POSCAR format:
```
CrMo
1.0
-0.136 -0.531 -2.943
2.969 -3.414 2.001
-5.638 -1.894 0.602
Mo Cr
3 3
direct
0.164 0.329 0.819
0.836 0.671 0.181
0.500 0.000 0.000
0.170 0.340 0.343
0.500 0.000 0.500
0.830 0.660 0.657
```

Properties
symmetry = C2/m

***

# 18
Computed, not measured: a PBEsol-optimized structure of Cr5Mo3 at the meta-GGA SCAN level of DFT.

The structure in POSCAR format:
```
Cr5Mo3
1.0
4.159 0.000 0.000
0.000 5.102 -0.001
0.000 -1.702 4.810
Cr Mo
5 3
direct
0.500 0.246 0.246
0.000 0.000 0.000
0.000 0.000 0.500
0.500 0.754 0.754
0.000 0.500 0.000
0.500 0.753 0.247
0.000 0.500 0.500
0.500 0.247 0.753
```

Properties
symmetry = Cmmm
energy relative to the lowest polymorph listed for this composition = 0.0020 eV per atom

***

# 19
Computed, not measured: a PBEsol-optimized structure of Cr3Mo4 at the meta-GGA SCAN level of DFT.

The structure in POSCAR format:
```
Cr3Mo4
1.0
-3.207 -3.521 -0.261
4.637 -0.949 -0.591
0.453 -0.767 4.786
Mo Cr
4 3
direct
0.667 0.333 0.500
0.000 0.000 0.748
0.000 0.000 0.252
0.333 0.667 0.500
0.000 0.500 0.000
0.500 0.500 0.000
0.500 0.000 0.000
```

Properties
symmetry = P6/mmm
energy relative to the lowest polymorph listed for this composition = 0.0324 eV per atom

***

# 20
Computed, not measured: a PBEsol-optimized structure of Cr4Mo at the meta-GGA SCAN level of DFT.

The structure in POSCAR format:
```
Cr4Mo
1.0
2.889 0.000 0.000
1.445 4.561 0.000
1.445 0.000 4.561
Cr Mo
4 1
direct
0.194 0.207 0.405
0.806 0.793 0.595
0.599 0.595 0.207
0.401 0.405 0.793
0.000 0.000 0.000
```

Properties
symmetry = I4/m
energy relative to the lowest polymorph listed for this composition = 0.0000 eV per atom

***

The final energy results, record by record, are as follows: -17.18, -17.22, -17.07, -16.85, -17.22, -21.18, -25.19, -21.11, -26.55, -23.79, -23.78, -32.08, -21.07, -31.53, -23.81, -26.53, -26.53, -24.56, -27.69, -21.62 eV/atom.
The energy relative to the elements results, record by record, are as follows: -0.0737, -0.1215, 0.0293, 0.2523, -0.0835, 0.2498, 0.5621, 0.3225, 0.0878, 0.0953, 0.1080, 0.0520, 0.0646, 0.0578, 0.0781, 0.1043, 0.1058, 0.0141, 0.1273, 0.0696 eV/atom.